A geometry-optimized UTl4 structure. Source: Alexandria via LeMat-Bulk, functional GGA-PBE.

Output
Density of states at the Fermi level: 14.5 states/eV/f.u.
Formation energy from the elements: 881.0 meV per atom
Raw total energy: -3.270 eV/atom

Lattice parameters (Å, degrees): 6.013 6.013 6.013 90.00 90.00 90.00
Fractional coordinates of all 5 atoms:
Tl (0.000, 0.000, 0.000)
Tl (0.500, 0.500, 0.000)
Tl (0.500, 0.000, 0.500)
Tl (0.000, 0.500, 0.500)
U (0.500, 0.500, 0.500)